Entry 1:
Density functional theory data (PBE) for AcLaNd6Ho2 after structural relaxation.

The structure in CIF format:
```
data_AcLaNd6Ho2
_chemical_formula_sum 'Ac4 La4 Nd24 Ho8'
_space_group_name_H-M_alt 'C 1 2/c 1'
_space_group_IT_number 15
_cell_length_a 9.418
_cell_length_b 15.564
_cell_length_c 9.924
_cell_angle_alpha 90.00
_cell_angle_beta 96.56
_cell_angle_gamma 90.00
loop_
_space_group_symop_operation_xyz
'x,y,z'
'-x,-y,-z'
'-x,y,-z+1/2'
'x,-y,z+1/2'
'x+1/2,y+1/2,z'
'-x+1/2,-y+1/2,-z'
'-x+1/2,y+1/2,-z+1/2'
'x+1/2,-y+1/2,z+1/2'
loop_
_atom_site_label
_atom_site_type_symbol
_atom_site_fract_x
_atom_site_fract_y
_atom_site_fract_z
Ac1 Ac 0.000 0.031 0.250
La1 La 0.000 0.408 0.750
Nd1 Nd 0.068 0.182 0.945
Nd2 Nd 0.098 0.393 0.121
Nd3 Nd 0.212 0.232 0.322
Ho1 Ho 0.249 0.446 0.453
```

***

Entry 2:
Density functional theory data (PBE) for AcLa2Nd4Ho after structural relaxation.

The structure in CIF format:
```
data_AcLa2Nd4Ho
_chemical_formula_sum 'Ac1 La2 Nd4 Ho1'
_space_group_name_H-M_alt 'P 1 2/m 1'
_space_group_IT_number 10
_cell_length_a 6.136
_cell_length_b 6.162
_cell_length_c 7.658
_cell_angle_alpha 90.00
_cell_angle_beta 90.00
_cell_angle_gamma 90.00
loop_
_space_group_symop_operation_xyz
'x,y,z'
'-x,-y,-z'
'-x,y,-z'
'x,-y,z'
loop_
_atom_site_label
_atom_site_type_symbol
_atom_site_fract_x
_atom_site_fract_y
_atom_site_fract_z
Ac1 Ac 0.000 0.000 0.000
La1 La 0.000 0.000 0.500
La2 La 0.500 0.500 0.000
Nd1 Nd 0.001 0.500 0.735
Nd2 Nd 0.499 0.000 0.734
Ho1 Ho 0.500 0.500 0.500
```

***

no.,total magnetic moment (μB per formula unit),VASP energy (eV/atom)
1,0.000,-4.564
2,0.000,-4.591